No. 1
Entry from the Alexandria database: a relaxed Ba3YPd crystal (GGA-PBE).

Lattice parameters (Å, degrees): 6.4401 6.4401 6.4401 90.00 90.00 90.00
Last column: nearest neighbours and their distance in Å.
Sites, in units of the cell vectors:
Ba 0.0000 0.0000 0.5000  2 Y 3.22
Ba 0.0000 0.5000 0.0000  2 Y 3.22
Ba 0.5000 0.0000 0.0000  2 Y 3.22
Y 0.0000 0.0000 0.0000  6 Ba 3.22
Pd 0.5000 0.5000 0.5000  12 Ba 4.55

Its formation enthalpy at 0 K is 0.88 eV/atom. The calculation puts the energy at -2.607 eV/atom. The energy relative to the lowest polymorph listed for this composition is 848 meV/atom.

---

No. 2
Entry from the Alexandria database: a relaxed Sr2Mo2Se crystal (GGA-PBE).

Lattice parameters (Å, degrees): 10.0199 10.0199 10.0199 158.94 158.94 29.96
Last column: nearest neighbours and their distance in Å.
Sites, in units of the cell vectors:
Sr 0.0961 0.0961 0.0000  4 Se 3.19, 4 Mo 3.50
Sr 0.9039 0.9039 0.0000  4 Se 3.19, 4 Mo 3.50
Mo 0.2500 0.7500 0.5000  4 Mo 2.59
Mo 0.7500 0.2500 0.5000  4 Mo 2.59
Se 0.5000 0.5000 0.0000  8 Sr 3.19

For the energy relative to the elements, uncorrected, the calculation gives -182 meV/atom. The calculation puts the energy at -5.884 eV/atom. The energy relative to the lowest polymorph listed for this composition is 0 meV/atom.

---

No. 3
Entry from the Alexandria database: a relaxed CePm2I6 crystal (GGA-PBE).

Lattice parameters (Å, degrees): 8.5486 8.5486 8.5486 53.98 53.98 53.98
Last column: nearest neighbours and their distance in Å.
Sites, in units of the cell vectors:
Ce 0.0000 0.0000 0.0000  6 I 3.22-3.24
Pm 0.1676 0.1676 0.1676  6 I 3.16-3.18
Pm 0.3309 0.3309 0.3309  6 I 3.17-3.21
I 0.0828 0.4245 0.7478  2 Pm 3.18-3.21, 1 Ce 3.22
I 0.2655 0.9038 0.5779  2 Pm 3.16-3.17, 1 Ce 3.24
I 0.4245 0.7478 0.0828  2 Pm 3.18-3.21, 1 Ce 3.22
I 0.5779 0.2655 0.9038  2 Pm 3.16-3.17, 1 Ce 3.24
I 0.7478 0.0828 0.4245  2 Pm 3.18-3.21, 1 Ce 3.22
I 0.9038 0.5779 0.2655  2 Pm 3.16-3.17, 1 Ce 3.24

For the energy relative to the elements, uncorrected, the calculation gives -1213 meV/atom. The calculation puts the energy at -3.962 eV/atom. The energy relative to the lowest polymorph listed for this composition is 52 meV/atom.

---

No. 4
Entry from the Alexandria database: a relaxed La2CrCo crystal (GGA-PBE).

Lattice parameters (Å, degrees): 5.9638 5.9638 5.9638 138.64 138.64 59.93
Last column: nearest neighbours and their distance in Å.
Sites, in units of the cell vectors:
La 0.0000 0.0000 0.0000  4 Cr 2.98, 4 La 3.33, 4 Co 3.33
La 0.7500 0.2500 0.5000  4 Co 2.98, 4 Cr 3.33, 4 La 3.33
Cr 0.5000 0.5000 0.0000  8 La 2.98-3.33, 4 Co 3.33
Co 0.2500 0.7500 0.5000  8 La 2.98-3.33, 4 Cr 3.33

Its formation enthalpy at 0 K is 0.42 eV/atom. The calculation puts the energy at -6.231 eV/atom. The energy relative to the lowest polymorph listed for this composition is 212 meV/atom.

---

No. 5
Entry from the Alexandria database: a relaxed BaCaTe2 crystal (GGA-PBE).

Lattice parameters (Å, degrees): 5.8046 5.8046 5.8046 60.00 60.00 60.00
Last column: nearest neighbours and their distance in Å.
Sites, in units of the cell vectors:
Ba 0.0000 0.0000 0.0000  8 Te 3.55
Ca 0.5000 0.5000 0.5000  8 Te 3.55
Te 0.2500 0.2500 0.2500  4 Ca 3.55, 4 Ba 3.55
Te 0.7500 0.7500 0.7500  4 Ca 3.55, 4 Ba 3.55

For the energy relative to the elements, uncorrected, the calculation gives -1449 meV/atom. The calculation puts the energy at -4.001 eV/atom. The energy relative to the lowest polymorph listed for this composition is 247 meV/atom.

---

No. 6
Entry from the Alexandria database: a relaxed CaHfNb2Cd crystal (GGA-PBE).

Lattice parameters (Å, degrees): 5.1368 5.1368 5.1373 90.00 90.00 90.00
Last column: nearest neighbours and their distance in Å.
Sites, in units of the cell vectors:
Ca 0.0000 0.0000 0.0000  2 Cd 2.57
Hf 0.5000 0.5000 0.0000  4 Ca 3.63, 8 Nb 3.63
Nb 0.0000 0.5000 0.5000  2 Cd 2.57
Nb 0.5000 0.0000 0.5000  2 Cd 2.57
Cd 0.0000 0.0000 0.5000  4 Nb 2.57, 2 Ca 2.57

Its formation enthalpy at 0 K is 1.54 eV/atom. The calculation puts the energy at -5.063 eV/atom.

---

No. 7
Entry from the Alexandria database: a relaxed HfGe2N2 crystal (GGA-PBE).

Lattice parameters (Å, degrees): 6.2167 6.2167 3.7128 90.00 90.00 90.00
Last column: nearest neighbours and their distance in Å.
Sites, in units of the cell vectors:
Hf 0.0000 0.0000 0.0000  4 N 2.21
Hf 0.5000 0.5000 0.0000  4 N 2.21
Ge 0.1428 0.3572 0.5000  2 N 1.98
Ge 0.3572 0.8572 0.5000  2 N 1.98
Ge 0.6428 0.1428 0.5000  2 N 1.98
Ge 0.8572 0.6428 0.5000  2 N 1.98
N 0.2226 0.2774 0.0000  2 Ge 1.98, 2 Hf 2.21
N 0.2774 0.7774 0.0000  2 Ge 1.98, 2 Hf 2.21
N 0.7226 0.2226 0.0000  2 Ge 1.98, 2 Hf 2.21
N 0.7774 0.7226 0.0000  2 Ge 1.98, 2 Hf 2.21

For the energy relative to the elements, uncorrected, the calculation gives -173 meV/atom. The calculation puts the energy at -7.340 eV/atom. The energy relative to the lowest polymorph listed for this composition is 0 meV/atom.

---

No. 8
Entry from the Alexandria database: a relaxed ErPuFe2 crystal (GGA-PBE).

Lattice parameters (Å, degrees): 4.6832 4.6832 4.6832 60.00 60.00 60.00
Last column: nearest neighbours and their distance in Å.
Sites, in units of the cell vectors:
Er 0.0000 0.0000 0.0000  8 Fe 2.87
Pu 0.5000 0.5000 0.5000  8 Fe 2.87
Fe 0.2500 0.2500 0.2500  4 Pu 2.87, 4 Er 2.87
Fe 0.7500 0.7500 0.7500  4 Er 2.87, 4 Pu 2.87

Its formation enthalpy at 0 K is 0.05 eV/atom. The calculation puts the energy at -8.905 eV/atom.

---

No. 9
Entry from the Alexandria database: a relaxed Pr4Ga2Cl3 crystal (GGA-PBE).

Lattice parameters (Å, degrees): 4.1564 4.1564 18.1019 90.05 90.05 60.00
Last column: nearest neighbours and their distance in Å.
Sites, in units of the cell vectors:
Pr 0.0008 0.0008 0.3062  3 Cl 2.91, 3 Ga 3.05
Pr 0.3336 0.3336 0.1005  3 Cl 3.01, 3 Ga 3.03
Pr 0.6664 0.6664 0.8995  3 Cl 3.01, 3 Ga 3.03
Pr 0.9992 0.9992 0.6938  3 Cl 2.91, 3 Ga 3.05
Ga 0.3328 0.3328 0.7977  6 Pr 3.03-3.05
Ga 0.6672 0.6672 0.2023  6 Pr 3.03-3.05
Cl 0.0000 0.0000 0.0000  6 Pr 3.01
Cl 0.3344 0.3344 0.3968  3 Pr 2.91
Cl 0.6656 0.6656 0.6032  3 Pr 2.91

For the energy relative to the elements, uncorrected, the calculation gives -1255 meV/atom. The calculation puts the energy at -4.667 eV/atom.

---

No. 10
Entry from the Alexandria database: a relaxed Tb4HoAl4 crystal (GGA-PBE).

Lattice parameters (Å, degrees): 8.8022 8.8022 5.8403 90.00 90.00 90.00
Last column: nearest neighbours and their distance in Å.
Sites, in units of the cell vectors:
Tb 0.0825 0.8239 0.1312  1 Ho 3.08, 5 Al 3.08-3.41, 1 Tb 3.22
Tb 0.1761 0.5825 0.6312  1 Ho 3.08, 5 Al 3.08-3.41, 1 Tb 3.22
Tb 0.3239 0.9175 0.6312  1 Ho 3.08, 5 Al 3.08-3.41, 1 Tb 3.22
Tb 0.4175 0.6761 0.1312  1 Ho 3.08, 5 Al 3.08-3.41, 1 Tb 3.22
Tb 0.5825 0.3239 0.8688  1 Ho 3.08, 5 Al 3.08-3.41, 1 Tb 3.22
Tb 0.6761 0.0825 0.3688  1 Ho 3.08, 5 Al 3.08-3.41, 1 Tb 3.22
Tb 0.8239 0.4175 0.3688  1 Ho 3.08, 5 Al 3.08-3.41, 1 Tb 3.22
Tb 0.9175 0.1761 0.8688  1 Ho 3.08, 5 Al 3.08-3.41, 1 Tb 3.22
Ho 0.2500 0.2500 0.7500  4 Al 3.00, 4 Tb 3.08
Ho 0.7500 0.7500 0.2500  4 Al 3.00, 4 Tb 3.08
Al 0.0567 0.1552 0.3512  2 Al 2.93, 1 Ho 3.00, 4 Tb 3.08-3.27
Al 0.1552 0.4433 0.1488  2 Al 2.93, 1 Ho 3.00, 4 Tb 3.08-3.27
Al 0.3448 0.0567 0.1488  2 Al 2.93, 1 Ho 3.00, 4 Tb 3.08-3.27
Al 0.4433 0.3448 0.3512  2 Al 2.93, 1 Ho 3.00, 4 Tb 3.08-3.27
Al 0.5567 0.6552 0.6488  2 Al 2.93, 1 Ho 3.00, 4 Tb 3.08-3.27
Al 0.6552 0.9433 0.8512  2 Al 2.93, 1 Ho 3.00, 4 Tb 3.08-3.27
Al 0.8448 0.5567 0.8512  2 Al 2.93, 1 Ho 3.00, 4 Tb 3.08-3.27
Al 0.9433 0.8448 0.6488  2 Al 2.93, 1 Ho 3.00, 4 Tb 3.08-3.27

Its formation enthalpy at 0 K is -0.16 eV/atom. The calculation puts the energy at -4.391 eV/atom.

---

No. 11
Entry from the Alexandria database: a relaxed Tb2SiI crystal (GGA-PBE).

Lattice parameters (Å, degrees): 7.8462 7.8462 7.8462 31.24 31.24 31.24
Last column: nearest neighbours and their distance in Å.
Sites, in units of the cell vectors:
Tb 0.2309 0.2309 0.2309  3 Si 2.83
Tb 0.7691 0.7691 0.7691  3 Si 2.83
Si 0.5000 0.5000 0.5000  6 Tb 2.83
I 0.0000 0.0000 0.0000  6 Tb 3.35

For the energy relative to the elements, uncorrected, the calculation gives -903 meV/atom. The calculation puts the energy at -4.962 eV/atom. The energy relative to the lowest polymorph listed for this composition is 0 meV/atom.

---

No. 12
Entry from the Alexandria database: a relaxed CoOsCl2 crystal (GGA-PBE).

Lattice parameters (Å, degrees): 7.7589 7.7589 7.7589 158.40 153.09 34.76
Last column: nearest neighbours and their distance in Å.
Sites, in units of the cell vectors:
Co 0.0000 0.0000 0.0000  4 Cl 2.52, 2 Os 2.55
Os 0.8588 0.3588 0.5000  4 Cl 2.44, 2 Co 2.55
Cl 0.3064 0.8064 0.5000  4 Os 2.44
Cl 0.5660 0.5660 0.0000  4 Co 2.52

For the energy relative to the elements, uncorrected, the calculation gives 693 meV/atom. The calculation puts the energy at -4.814 eV/atom. The energy relative to the lowest polymorph listed for this composition is 507 meV/atom.

---

- energy of number 2 (Sr2Mo2Se)?
  -5.884 eV/atom